Entry 1:
The following is a PBE calculation of a geometry-optimized CrFe2Si structure, from Alexandria.

Properties
- N(E_F): 2.4 states/eV/cell
- SG: P4mm, No. 99
- Uncorrected formation energy: -0.1613 eV/atom

```
data_CrFe2Si
_chemical_formula_sum 'Cr1 Fe2 Si1'
_cell_length_a 2.8329
_cell_length_b 2.8329
_cell_length_c 5.6268
_cell_angle_alpha 90.00
_cell_angle_beta 90.00
_cell_angle_gamma 90.00
_space_group_name_H-M_alt 'P 1'
_space_group_IT_number 1
loop_
_space_group_symop_operation_xyz
'x,y,z'
loop_
_atom_site_label
_atom_site_type_symbol
_atom_site_fract_x
_atom_site_fract_y
_atom_site_fract_z
_atom_site_occupancy
Si1 Si 0.0000 0.0000 0.4870 1
Fe1 Fe 0.0000 0.0000 0.0015 1
Fe2 Fe 0.5000 0.5000 0.2583 1
Cr1 Cr 0.5000 0.5000 0.7531 1
```



Entry 2:
The following is a PBE calculation of a geometry-optimized CrFe2Si structure, from Alexandria.

Properties
- N(E_F): 4.7 states/eV/cell
- SG: Pmm2, No. 25
- Uncorrected formation energy: -0.1055 eV/atom

```
data_CrFe2Si
_chemical_formula_sum 'Cr1 Fe2 Si1'
_cell_length_a 2.5551
_cell_length_b 3.5757
_cell_length_c 4.8803
_cell_angle_alpha 90.00
_cell_angle_beta 90.00
_cell_angle_gamma 90.00
_space_group_name_H-M_alt 'P 1'
_space_group_IT_number 1
loop_
_space_group_symop_operation_xyz
'x,y,z'
loop_
_atom_site_label
_atom_site_type_symbol
_atom_site_fract_x
_atom_site_fract_y
_atom_site_fract_z
_atom_site_occupancy
Cr1 Cr 0.5000 0.5000 0.7644 1
Si1 Si 0.0000 0.0000 0.4864 1
Fe1 Fe 0.5000 0.5000 0.2627 1
Fe2 Fe 0.0000 0.0000 0.9865 1
```



Entry 3:
The following is a PBE calculation of a geometry-optimized CrFeSi structure, from Alexandria.

Properties
- N(E_F): 13.5 states/eV/cell
- SG: Amm2, No. 38
- Uncorrected formation energy: -0.2021 eV/atom

```
data_CrFeSi
_chemical_formula_sum 'Cr4 Fe4 Si4'
_cell_length_a 4.2204
_cell_length_b 7.2320
_cell_length_c 4.4807
_cell_angle_alpha 90.00
_cell_angle_beta 90.00
_cell_angle_gamma 90.00
_space_group_name_H-M_alt 'P 1'
_space_group_IT_number 1
loop_
_space_group_symop_operation_xyz
'x,y,z'
loop_
_atom_site_label
_atom_site_type_symbol
_atom_site_fract_x
_atom_site_fract_y
_atom_site_fract_z
_atom_site_occupancy
Cr1 Cr 0.0000 0.3417 0.3710 1
Cr2 Cr 0.0000 0.8417 0.8710 1
Fe1 Fe 0.5000 0.6645 0.7230 1
Fe2 Fe 0.5000 0.3355 0.7230 1
Cr3 Cr 0.0000 0.1583 0.8710 1
Si1 Si 0.0000 0.5000 0.8664 1
Si2 Si 0.0000 0.0000 0.3664 1
Si3 Si 0.5000 0.0000 0.7240 1
Si4 Si 0.5000 0.5000 0.2240 1
Fe3 Fe 0.5000 0.8355 0.2230 1
Fe4 Fe 0.5000 0.1645 0.2230 1
Cr4 Cr 0.0000 0.6583 0.3710 1
```



Entry 4:
The following is a PBE calculation of a geometry-optimized CrFeSi structure, from Alexandria.

Properties
- N(E_F): 3.5 states/eV/cell
- SG: P-6m2, No. 187
- Uncorrected formation energy: -0.1942 eV/atom

```
data_CrFeSi
_chemical_formula_sum 'Cr1 Fe1 Si1'
_cell_length_a 3.9013
_cell_length_b 3.9013
_cell_length_c 2.5912
_cell_angle_alpha 90.00
_cell_angle_beta 90.00
_cell_angle_gamma 120.00
_space_group_name_H-M_alt 'P 1'
_space_group_IT_number 1
loop_
_space_group_symop_operation_xyz
'x,y,z'
loop_
_atom_site_label
_atom_site_type_symbol
_atom_site_fract_x
_atom_site_fract_y
_atom_site_fract_z
_atom_site_occupancy
Fe1 Fe 0.6667 0.3333 0.5000 1
Cr1 Cr 0.3333 0.6667 0.0000 1
Si1 Si 0.0000 0.0000 0.5000 1
```



Entry 5:
The following is a PBE calculation of a geometry-optimized Cr2FeSi structure, from Alexandria.

Properties
- N(E_F): 3.3 states/eV/cell
- SG: Immm, No. 71
- Uncorrected formation energy: -0.2673 eV/atom

```
data_Cr2FeSi
_chemical_formula_sum 'Cr2 Fe1 Si1'
_cell_length_a 4.6787
_cell_length_b 4.6787
_cell_length_c 4.6787
_cell_angle_alpha 143.87
_cell_angle_beta 132.10
_cell_angle_gamma 61.43
_space_group_name_H-M_alt 'P 1'
_space_group_IT_number 1
loop_
_space_group_symop_operation_xyz
'x,y,z'
loop_
_atom_site_label
_atom_site_type_symbol
_atom_site_fract_x
_atom_site_fract_y
_atom_site_fract_z
_atom_site_occupancy
Cr1 Cr 0.9999 0.9999 0.0000 1
Si1 Si 0.7500 0.2500 0.5000 1
Fe1 Fe 0.2500 0.7500 0.5000 1
Cr2 Cr 0.5001 0.5001 0.0000 1
```



Entry 6:
The following is a PBE calculation of a geometry-optimized CrFe2Si2 structure, from Alexandria.

Properties
- N(E_F): 12.0 states/eV/cell
- SG: P4/mbm, No. 127
- Uncorrected formation energy: -0.2471 eV/atom

```
data_CrFe2Si2
_chemical_formula_sum 'Cr2 Fe4 Si4'
_cell_length_a 6.6068
_cell_length_b 6.6068
_cell_length_c 2.5939
_cell_angle_alpha 90.00
_cell_angle_beta 90.00
_cell_angle_gamma 90.00
_space_group_name_H-M_alt 'P 1'
_space_group_IT_number 1
loop_
_space_group_symop_operation_xyz
'x,y,z'
loop_
_atom_site_label
_atom_site_type_symbol
_atom_site_fract_x
_atom_site_fract_y
_atom_site_fract_z
_atom_site_occupancy
Fe1 Fe 0.1536 0.6536 0.5000 1
Si1 Si 0.1435 0.3565 0.0000 1
Fe2 Fe 0.8464 0.3464 0.5000 1
Fe3 Fe 0.6536 0.8464 0.5000 1
Si2 Si 0.3565 0.8565 0.0000 1
Si3 Si 0.8565 0.6435 0.0000 1
Fe4 Fe 0.3464 0.1536 0.5000 1
Cr1 Cr 0.0000 0.0000 0.0000 1
Si4 Si 0.6435 0.1435 0.0000 1
Cr2 Cr 0.5000 0.5000 0.0000 1
```



Entry 7:
The following is a PBE calculation of a geometry-optimized CrFeSi structure, from Alexandria.

Properties
- N(E_F): 6.6 states/eV/cell
- SG: Cmcm, No. 63
- Uncorrected formation energy: -0.0067 eV/atom

```
data_CrFeSi
_chemical_formula_sum 'Cr2 Fe2 Si2'
_cell_length_a 3.7917
_cell_length_b 2.5725
_cell_length_c 7.2865
_cell_angle_alpha 100.17
_cell_angle_beta 90.00
_cell_angle_gamma 90.00
_space_group_name_H-M_alt 'P 1'
_space_group_IT_number 1
loop_
_space_group_symop_operation_xyz
'x,y,z'
loop_
_atom_site_label
_atom_site_type_symbol
_atom_site_fract_x
_atom_site_fract_y
_atom_site_fract_z
_atom_site_occupancy
Cr1 Cr 0.7500 0.4601 0.4202 1
Cr2 Cr 0.2500 0.5399 0.5798 1
Fe1 Fe 0.2500 0.7071 0.9141 1
Si1 Si 0.7500 0.1251 0.7501 1
Fe2 Fe 0.7500 0.2929 0.0859 1
Si2 Si 0.2500 0.8749 0.2499 1
```



Entry 8:
The following is a PBE calculation of a geometry-optimized CrFe2Si structure, from Alexandria.

Properties
- N(E_F): 3.7 states/eV/cell
- SG: Pm, No. 6
- Uncorrected formation energy: -0.0967 eV/atom

```
data_CrFe2Si
_chemical_formula_sum 'Cr1 Fe2 Si1'
_cell_length_a 3.9306
_cell_length_b 2.5165
_cell_length_c 4.6846
_cell_angle_alpha 78.06
_cell_angle_beta 90.00
_cell_angle_gamma 90.00
_space_group_name_H-M_alt 'P 1'
_space_group_IT_number 1
loop_
_space_group_symop_operation_xyz
'x,y,z'
loop_
_atom_site_label
_atom_site_type_symbol
_atom_site_fract_x
_atom_site_fract_y
_atom_site_fract_z
_atom_site_occupancy
Si1 Si 0.0000 0.4702 0.4924 1
Fe1 Fe 0.0000 0.0163 0.9983 1
Fe2 Fe 0.5000 0.2423 0.2572 1
Cr1 Cr 0.5000 0.7713 0.7522 1
```



Entry 9:
The following is a PBE calculation of a geometry-optimized CrFeSi structure, from Alexandria.

Properties
- N(E_F): 6.5 states/eV/cell
- SG: Cmmm, No. 65
- Uncorrected formation energy: -0.3202 eV/atom

```
data_CrFeSi
_chemical_formula_sum 'Cr4 Fe4 Si4'
_cell_length_a 3.8498
_cell_length_b 12.0831
_cell_length_c 2.8138
_cell_angle_alpha 90.00
_cell_angle_beta 90.00
_cell_angle_gamma 90.00
_space_group_name_H-M_alt 'P 1'
_space_group_IT_number 1
loop_
_space_group_symop_operation_xyz
'x,y,z'
loop_
_atom_site_label
_atom_site_type_symbol
_atom_site_fract_x
_atom_site_fract_y
_atom_site_fract_z
_atom_site_occupancy
Fe1 Fe 0.0000 0.3285 0.0000 1
Cr1 Cr 0.0000 0.0000 0.0000 1
Cr2 Cr 0.0000 0.5000 0.5000 1
Cr3 Cr 0.5000 0.0000 0.5000 1
Si1 Si 0.5000 0.6655 0.5000 1
Fe2 Fe 0.5000 0.1715 0.0000 1
Si2 Si 0.0000 0.8345 0.5000 1
Fe3 Fe 0.0000 0.6715 0.0000 1
Fe4 Fe 0.5000 0.8285 0.0000 1
Si3 Si 0.0000 0.1655 0.5000 1
Si4 Si 0.5000 0.3345 0.5000 1
Cr4 Cr 0.5000 0.5000 0.0000 1
```



Entry 10:
The following is a PBE calculation of a geometry-optimized CrFe3Si structure, from Alexandria.

Properties
- N(E_F): 6.8 states/eV/cell
- SG: Pm-3m, No. 221
- Uncorrected formation energy: 1.2051 eV/atom
- Relative energy among the computed polymorphs: 177 meV/atom

```
data_CrFe3Si
_chemical_formula_sum 'Cr1 Fe3 Si1'
_cell_length_a 4.1975
_cell_length_b 4.1975
_cell_length_c 4.1975
_cell_angle_alpha 90.00
_cell_angle_beta 90.00
_cell_angle_gamma 90.00
_space_group_name_H-M_alt 'P 1'
_space_group_IT_number 1
loop_
_space_group_symop_operation_xyz
'x,y,z'
loop_
_atom_site_label
_atom_site_type_symbol
_atom_site_fract_x
_atom_site_fract_y
_atom_site_fract_z
_atom_site_occupancy
Fe1 Fe 0.0000 0.5000 0.0000 1
Si1 Si 0.5000 0.5000 0.5000 1
Fe2 Fe 0.0000 0.0000 0.5000 1
Cr1 Cr 0.0000 0.0000 0.0000 1
Fe3 Fe 0.5000 0.0000 0.0000 1
```



Entry 11:
The following is a PBE calculation of a geometry-optimized CrFeSi2 structure, from Alexandria.

Properties
- N(E_F): 4.6 states/eV/cell
- SG: Fm-3m, No. 225
- Uncorrected formation energy: -0.2305 eV/atom

```
data_CrFeSi2
_chemical_formula_sum 'Cr1 Fe1 Si2'
_cell_length_a 3.9882
_cell_length_b 3.9882
_cell_length_c 3.9882
_cell_angle_alpha 60.00
_cell_angle_beta 60.00
_cell_angle_gamma 60.00
_space_group_name_H-M_alt 'P 1'
_space_group_IT_number 1
loop_
_space_group_symop_operation_xyz
'x,y,z'
loop_
_atom_site_label
_atom_site_type_symbol
_atom_site_fract_x
_atom_site_fract_y
_atom_site_fract_z
_atom_site_occupancy
Si1 Si 0.7500 0.7500 0.7500 1
Cr1 Cr 0.0000 0.0000 0.0000 1
Si2 Si 0.2500 0.2500 0.2500 1
Fe1 Fe 0.5000 0.5000 0.5000 1
```



Entry 12:
The following is a PBE calculation of a geometry-optimized CrFeSi structure, from Alexandria.

Properties
- N(E_F): 10.1 states/eV/cell
- SG: C2/m, No. 12
- Uncorrected formation energy: -0.2551 eV/atom

```
data_CrFeSi
_chemical_formula_sum 'Cr4 Fe4 Si4'
_cell_length_a 3.9298
_cell_length_b 2.7789
_cell_length_c 12.3319
_cell_angle_alpha 90.00
_cell_angle_beta 96.07
_cell_angle_gamma 90.00
_space_group_name_H-M_alt 'P 1'
_space_group_IT_number 1
loop_
_space_group_symop_operation_xyz
'x,y,z'
loop_
_atom_site_label
_atom_site_type_symbol
_atom_site_fract_x
_atom_site_fract_y
_atom_site_fract_z
_atom_site_occupancy
Fe1 Fe 0.0890 0.5000 0.6657 1
Cr1 Cr 0.5000 0.5000 0.5000 1
Fe2 Fe 0.9110 0.5000 0.3343 1
Fe3 Fe 0.9110 0.0000 0.8343 1
Cr2 Cr 0.0000 0.5000 0.0000 1
Fe4 Fe 0.0890 0.0000 0.1657 1
Cr3 Cr 0.0000 0.0000 0.5000 1
Si1 Si 0.4212 0.5000 0.8356 1
Cr4 Cr 0.5000 0.0000 0.0000 1
Si2 Si 0.4212 0.0000 0.3356 1
Si3 Si 0.5788 0.5000 0.1644 1
Si4 Si 0.5788 0.0000 0.6644 1
```



Number 1: raw total energy -0.2997 Ha/atom, total magnetic moment 2.3 μB per cell. Number 2: raw total energy -0.2976 Ha/atom, total magnetic moment 2.3 μB per cell. Number 3: raw total energy -0.2954 Ha/atom, total magnetic moment 4.0 μB per cell. Number 4: raw total energy -0.2951 Ha/atom, total magnetic moment 0.0 μB per cell. Number 5: raw total energy -0.3142 Ha/atom, total magnetic moment 0.2 μB per cell. Number 6: raw total energy -0.2839 Ha/atom, total magnetic moment 3.0 μB per cell. Number 7: raw total energy -0.2882 Ha/atom, total magnetic moment 3.9 μB per cell. Number 8: raw total energy -0.2973 Ha/atom, total magnetic moment 3.1 μB per cell. Number 9: raw total energy -0.2997 Ha/atom, total magnetic moment 0.0 μB per cell. Number 10: raw total energy -0.2529 Ha/atom, total magnetic moment 4.5 μB per cell. Number 11: raw total energy -0.2743 Ha/atom, total magnetic moment 1.5 μB per cell. Number 12: raw total energy -0.2974 Ha/atom, total magnetic moment 0.0 μB per cell.